[1]
Computed, not measured: a crystal of Zn2InBr relaxed with PBEsol at the SCAN level of DFT.

```
Zn2InBr
1.0
5.3814 0.0000 0.0000
0.0000 3.3569 0.0000
-2.4270 0.0000 4.8548
Zn In Br
2 1 1
Direct
0.0000 0.0000 0.0000
0.1854 0.5000 0.7629
0.7150 0.5000 0.2368
0.4266 0.0000 0.5425
```

Calculated values
As for the formation energy (no corrections): 0.4 kcal/mol of atoms. The theoretical density comes out at 6.16 g/cm3. As for the distance to the lowest polymorph of the same formula: 0.000 eV/atom. As for the total energy: -19.95 eV per atom. The crystal system is monoclinic. For the density of states at the Fermi level, the calculation gives 1.7 states/eV/f.u.

=====

[2]
Computed, not measured: a crystal of Ir2AuBr relaxed with PBEsol at the SCAN level of DFT.

```
Ir2AuBr
1.0
2.8699 0.0000 0.0000
0.0000 2.8699 0.0000
0.0000 0.0000 8.3301
Ir Au Br
2 1 1
Direct
0.0000 0.0000 0.0000
0.5000 0.5000 0.1996
0.0000 0.0000 0.4359
0.5000 0.5000 0.7649
```

Calculated values
As for the formation energy (no corrections): 15.1 kcal/mol of atoms. The theoretical density comes out at 16.01 g/cm3. As for the distance to the lowest polymorph of the same formula: 0.000 eV/atom. As for the total energy: -57.05 eV per atom. The crystal system is tetragonal. For the density of states at the Fermi level, the calculation gives 2.1 states/eV/f.u.

=====

[3]
Computed, not measured: a crystal of YTlSb2 relaxed with PBEsol at the SCAN level of DFT.

```
YTlSb2
1.0
4.0877 0.0000 0.0000
0.0000 4.0877 0.0000
0.0000 0.0000 6.4078
Y Tl Sb
1 1 2
Direct
0.0000 0.0000 0.0000
0.0000 0.0000 0.5000
0.5000 0.5000 0.2303
0.5000 0.5000 0.7697
```

Calculated values
As for the formation energy (no corrections): -13.0 kcal/mol of atoms. The theoretical density comes out at 8.33 g/cm3. As for the distance to the lowest polymorph of the same formula: 0.000 eV/atom. As for the total energy: -44.24 eV per atom. The crystal system is tetragonal. For the density of states at the Fermi level, the calculation gives 2.1 states/eV/f.u.

=====

[4]
Computed, not measured: a crystal of Zn2Ag3 relaxed with PBEsol at the SCAN level of DFT.

```
Zn2Ag3
1.0
-1.4425 1.8343 7.2750
1.4425 -1.8343 7.2750
1.4425 1.8343 -7.2750
Zn Ag
2 3
Direct
0.1010 0.1010 0.0000
0.8990 0.8990 0.0000
0.3052 0.3052 0.0000
0.5000 0.5000 0.0000
0.6948 0.6948 0.0000
```

Calculated values
The theoretical density comes out at 9.80 g/cm3. As for the distance to the lowest polymorph of the same formula: 0.001 eV/atom. As for the total energy: -24.25 eV per atom. The calculation puts the formation energy at -9 kJ/mol of formula units. The crystal system is orthorhombic. For the density of states at the Fermi level, the calculation gives 1.1 states/eV/f.u.

=====

[5]
Computed, not measured: a crystal of SbPt2S relaxed with PBEsol at the SCAN level of DFT.

```
SbPt2S
1.0
-2.4200 2.4200 6.9796
2.4200 -2.4200 6.9796
2.4200 2.4200 -6.9796
Sb Pt S
2 4 2
Direct
0.0000 0.0000 0.0000
0.7500 0.2500 0.5000
0.2213 0.6250 0.0963
0.3750 0.4713 0.5963
0.5287 0.1250 0.9037
0.8750 0.7787 0.4037
0.2500 0.7500 0.5000
0.5000 0.5000 0.0000
```

Calculated values
As for the formation energy (no corrections): -6.8 kcal/mol of atoms. The theoretical density comes out at 11.05 g/cm3. As for the total energy: -47.12 eV per atom. The crystal system is tetragonal. For the density of states at the Fermi level, the calculation gives 1.2 states/eV/f.u.

=====

[6]
Computed, not measured: a crystal of Ca5Y relaxed with PBEsol at the SCAN level of DFT.

```
Ca5Y
1.0
3.7774 0.0000 0.0000
0.0000 3.7774 0.0000
0.0000 0.0000 16.1288
Ca Y
5 1
Direct
0.0000 0.0000 0.0000
0.0000 0.0000 0.3452
0.0000 0.0000 0.6548
0.5000 0.5000 0.1723
0.5000 0.5000 0.8277
0.5000 0.5000 0.5000
```

Calculated values
The theoretical density comes out at 2.09 g/cm3. As for the distance to the lowest polymorph of the same formula: 0.000 eV/atom. As for the total energy: -12.64 eV per atom. The calculation puts the formation energy at 31 kJ/mol of formula units. The crystal system is tetragonal. For the density of states at the Fermi level, the calculation gives 6.3 states/eV/f.u.

=====

Q: The highest theoretical density belongs to which entry?
A: Ir2AuBr

=====

Q: Look up the density of states at the Fermi level of the sixth one.
A: 6.3 states/eV/f.u.

=====

Q: Which formula does entry 1 have?
A: Zn2InBr